{
  "formula": "Ce3AlSb4",
  "functional": "PBE",
  "state": "optimized geometry",
  "final_energy_ev_per_cell": -43.19,
  "sg": "Pm-3m, No. 221",
  "lattice": [[6.2937, 0.0000, 0.0000], [0.0000, 6.2937, 0.0000], [0.0000, 0.0000, 6.2937]],
  "species": ["Ce", "Ce", "Ce", "Al", "Sb", "Sb", "Sb", "Sb"],
  "fractional_positions": [[0.0000, 0.0000, 0.5000], [0.0000, 0.5000, 0.0000], [0.5000, 0.0000, 0.0000], [0.5000, 0.5000, 0.5000], [0.0000, 0.0000, 0.0000], [0.0000, 0.5000, 0.5000], [0.5000, 0.0000, 0.5000], [0.5000, 0.5000, 0.0000]]
}

=====

{
  "formula": "CeAlSb2",
  "functional": "PBE",
  "state": "optimized geometry",
  "polymorph_energy_mev_per_atom": 664,
  "final_energy_ev_per_cell": -17.42,
  "sg": "R-3m, No. 166",
  "lattice": [[1.7927, 1.0350, 10.1865], [-1.7927, 1.0350, 10.1865], [0.0000, -2.0700, 10.1865]],
  "species": ["Ce", "Al", "Sb", "Sb"],
  "fractional_positions": [[0.0000, 0.0000, 0.0000], [0.5000, 0.5000, 0.5000], [0.1041, 0.1041, 0.1041], [0.8959, 0.8959, 0.8959]]
}

=====

{
  "formula": "Ce2AlSb",
  "functional": "PBE",
  "state": "optimized geometry",
  "polymorph_energy_mev_per_atom": 0,
  "final_energy_ev_per_cell": -21.97,
  "sg": "P4/mmm, No. 123",
  "lattice": [[4.0869, 0.0000, 0.0000], [0.0000, 4.0869, 0.0000], [0.0000, 0.0000, 6.2059]],
  "species": ["Ce", "Ce", "Al", "Sb"],
  "fractional_positions": [[0.0000, 0.0000, 0.2269], [0.0000, 0.0000, 0.7731], [0.5000, 0.5000, 0.0000], [0.5000, 0.5000, 0.5000]]
}

=====

Computed uncorrected formation energy (eV per formula unit) in order:
-5.2; 0.5; -2.2